1.
Material: Ag4Br6Cl
Method: DFT, PBE
State: optimized geometry

Properties
DOS at the Fermi energy, states/eV per atom: 0.935
Crystal system: triclinic
Electronic total energy, eV per atom: -2.34
Size of the total moment, μB per formula unit: 0.00

Structure (extended XYZ):
```
11
Lattice="-5.3893 2.1493 6.6744 2.6510 -0.7616 7.2665 0.7949 6.0640 10.9161" Properties=species:S:1:pos:R:3 pbc="T T T"
Ag -2.9801 3.0152 9.2783
Ag -1.2018 5.8772 18.4269
Ag 0.7652 1.6138 9.3043
Ag 0.0611 4.9021 11.6157
Br 0.2182 4.8202 16.4560
Br -3.3642 5.9903 16.8190
Br -1.2485 2.6050 11.1550
Br -2.8036 6.5688 20.5166
Br -0.8051 2.3561 7.1221
Br -1.9883 5.8942 13.0100
Cl -2.3341 2.5223 15.1429
```

2.
Material: Ta2VMo
Method: DFT, PBE
State: optimized geometry

Properties
DOS at the Fermi energy, states/eV per atom: 1.192
Energy above the lowest structure with this stoichiometry, meV/atom: 774.8
Crystal system: tetragonal
Electronic total energy, eV per atom: -10.23
Energy relative to the elements, eV/atom: 0.684
Size of the total moment, μB per formula unit: 0.00

Structure (extended XYZ):
```
8
Lattice="7.1592 0.0000 0.0000 0.0000 7.1592 0.0000 3.5796 3.5796 2.7525" Properties=species:S:1:pos:R:3 pbc="T T T"
Mo 0.0000 0.0000 0.0000
Mo 7.1592 3.5796 1.3763
Ta 5.3573 1.7898 0.6881
Ta 1.8019 5.3694 0.6881
Ta 5.3694 5.3815 2.0644
Ta 8.9490 8.9369 2.0644
V 3.5796 3.5796 0.0000
V 3.5796 7.1592 1.3763
```

3.
Material: TaV3Br
Method: DFT, PBE
State: optimized geometry

Properties
DOS at the Fermi energy, states/eV per atom: 1.299
Energy above the lowest structure with this stoichiometry, meV/atom: 0.0
Crystal system: cubic
Electronic total energy, eV per atom: -7.12
Size of the total moment, μB per formula unit: 0.00

Structure (extended XYZ):
```
5
Lattice="4.4228 0.0000 0.0000 0.0000 4.4228 0.0000 0.0000 0.0000 4.4228" Properties=species:S:1:pos:R:3 pbc="T T T"
Ta 2.2114 2.2114 2.2114
Br 0.0000 0.0000 0.0000
V 0.0000 2.2114 0.0000
V 0.0000 0.0000 2.2114
V 2.2114 0.0000 0.0000
```

4.
Material: Dy4GaSb2
Method: DFT, PBE
State: optimized geometry

Properties
DOS at the Fermi energy, states/eV per atom: 0.685
Crystal system: orthorhombic
Electronic total energy, eV per atom: -4.90
Size of the total moment, μB per formula unit: 0.00

Structure (extended XYZ):
```
14
Lattice="-1.0235 0.0479 -8.1402 -4.8681 -5.6946 3.3449 -1.9343 7.3720 3.0374" Properties=species:S:1:pos:R:3 pbc="T T T"
Dy -2.7286 0.9041 -5.9068
Dy -3.1689 -1.4292 -0.2412
Dy -5.3976 1.5623 -3.4027
Dy -2.4204 4.8185 -3.8464
Dy -1.2605 1.9084 -1.8450
Dy -2.4343 5.2847 0.2922
Dy -5.4114 2.0284 0.7358
Dy -4.6371 -2.4334 -4.3028
Ga -4.8725 -0.5714 1.9936
Ga -1.9361 7.3702 3.0359
Sb -3.9160 3.4235 -1.5553
Sb -5.3828 -3.1099 -1.4015
Sb -2.9488 -0.2625 -3.0740
Sb -3.4042 3.3995 2.5148
```

5.
Material: Sr2ZnCd2
Method: DFT, PBE
State: optimized geometry

Properties
DOS at the Fermi energy, states/eV per atom: 0.808
Energy above the lowest structure with this stoichiometry, meV/atom: 0.0
Crystal system: monoclinic
Electronic total energy, eV per atom: -1.58
Energy relative to the elements, eV/atom: -0.284
Size of the total moment, μB per formula unit: 0.00

Structure (extended XYZ):
```
10
Lattice="4.7186 0.0000 0.0000 2.3593 5.9455 -0.1471 2.3593 0.6422 10.9439" Properties=species:S:1:pos:R:3 pbc="T T T"
Sr 2.3593 1.7226 1.2221
Sr 4.7186 2.2584 7.1941
Sr 7.0779 4.8651 9.5747
Sr 4.7186 4.3294 3.6026
Zn 4.7186 0.7978 3.7210
Zn 4.7186 5.7899 7.0758
Cd 7.0779 1.4178 9.6492
Cd 2.3593 1.8442 4.7434
Cd 2.3593 5.1699 1.1475
Cd 7.0779 4.7435 6.0533
```

6.
Material: LiZr3Tl3Te8
Method: DFT, PBE
State: optimized geometry

Properties
DOS at the Fermi energy, states/eV per atom: 0.148
Crystal system: monoclinic
Electronic total energy, eV per atom: -4.65
Size of the total moment, μB per formula unit: 0.00

Structure (extended XYZ):
```
15
Lattice="8.3618 0.0000 0.0000 -4.1809 7.2279 -0.0270 0.0000 -4.7807 8.1999" Properties=species:S:1:pos:R:3 pbc="T T T"
Li 0.0000 -2.3903 4.1000
Zr 4.1809 -2.3903 4.1000
Zr 2.0905 1.2236 4.0864
Zr -2.0905 1.2236 4.0864
Tl 0.0000 0.0000 0.0000
Tl -2.0905 3.6140 -0.0135
Tl 2.0905 3.6140 -0.0135
Te 0.0000 2.4201 2.3615
Te 4.1809 0.0271 5.8114
Te 4.1809 2.3674 2.4150
Te 0.0000 0.0798 5.7579
Te 6.2232 -1.1659 2.4269
Te -2.0423 3.6131 5.7459
Te 2.1386 -1.1659 2.4269
Te 2.0423 3.6131 5.7459
```

7.
Material: Tb4RhI5
Method: DFT, PBE
State: optimized geometry

Properties
DOS at the Fermi energy, states/eV per atom: 0.559
Crystal system: monoclinic
Electronic total energy, eV per atom: -4.51
Size of the total moment, μB per formula unit: 0.00

Structure (extended XYZ):
```
10
Lattice="-3.2090 0.9158 2.4160 2.1865 -6.7475 5.4618 6.6130 7.0598 2.5947" Properties=species:S:1:pos:R:3 pbc="T T T"
Tb -0.0070 2.1043 2.7058
Tb 0.4436 -1.3585 1.1041
Tb 5.5975 -0.8761 7.7667
Tb 5.1470 2.5867 9.3684
Rh -1.6045 0.4579 1.2080
I 2.4358 0.1949 3.1614
I 3.5971 -2.9313 5.8888
I 1.9934 4.1595 4.5837
I -0.5112 -2.9158 3.9389
I 3.1547 1.0333 7.3111
```

8.
Material: TlH6SN2
Method: DFT, PBE
State: optimized geometry

Properties
DOS at the Fermi energy, states/eV per atom: 0.114
Crystal system: monoclinic
Electronic total energy, eV per atom: -4.60
Size of the total moment, μB per formula unit: 0.00

Structure (extended XYZ):
```
20
Lattice="-1.6588 -6.7049 -1.5402 5.5096 -2.2588 -3.8239 2.3721 -1.4007 4.7188" Properties=species:S:1:pos:R:3 pbc="T T T"
Tl 5.0251 -3.2773 -2.3009
Tl 1.1978 -7.0871 1.6556
H 2.4616 -1.8892 -0.3727
H 4.4707 -6.5992 -3.2359
H 3.7613 -8.4752 -0.2727
H 1.7522 -3.7652 2.5906
H 2.1905 -3.5196 -0.6019
H 3.1145 -5.9782 -2.4882
H 4.0324 -6.8448 -0.0434
H 3.1084 -4.3863 1.8429
H 3.5494 -3.0190 0.1802
H 3.6668 -5.2933 -3.8792
H 2.6734 -7.3454 -0.8255
H 2.5561 -5.0711 3.2339
S 0.2618 -6.2317 -0.7835
S 5.9611 -4.1327 0.1381
N 2.2593 -4.6295 2.3585
N 3.3148 -7.5733 -0.0599
N 3.9635 -5.7349 -3.0038
N 2.9081 -2.7911 -0.5854
```

9.
Material: BeCrTc2
Method: DFT, PBE
State: optimized geometry

Properties
DOS at the Fermi energy, states/eV per atom: 1.038
Crystal system: monoclinic
Electronic total energy, eV per atom: -8.41
Energy relative to the elements, eV/atom: 0.115
Size of the total moment, μB per formula unit: 0.00

Structure (extended XYZ):
```
4
Lattice="4.7873 -0.0014 0.0228 -1.8763 4.4043 0.0228 0.5342 0.8080 2.4174" Properties=species:S:1:pos:R:3 pbc="T T T"
Cr -0.6711 2.6061 1.2201
Tc 0.0000 0.0000 0.0000
Tc 1.4555 2.2014 0.0228
Be 2.6608 0.4033 1.2201
```

10.
Material: Cs3Np2TlSe6
Method: DFT, PBE
State: optimized geometry

Properties
DOS at the Fermi energy, states/eV per atom: 1.333
Crystal system: monoclinic
Electronic total energy, eV per atom: -5.41
Size of the total moment, μB per formula unit: 6.00

Structure (extended XYZ):
```
12
Lattice="4.3464 0.0000 0.0000 0.0000 9.8772 0.0259 -2.1732 -3.1830 9.8620" Properties=species:S:1:pos:R:3 pbc="T T T"
Cs 2.1732 4.9386 0.0129
Cs 2.1732 -0.6451 6.8773
Cs 0.0000 7.3392 3.0105
Np 2.1732 4.4456 6.4765
Np 0.0000 2.2485 3.4114
Tl 2.1732 0.0000 0.0000
Se 0.0000 6.3139 6.4580
Se 2.1732 4.2027 3.5906
Se 2.1732 0.3803 3.4299
Se 0.0000 2.2975 0.7095
Se 2.1732 4.3967 9.1783
Se 0.0000 2.4915 6.2973
```

11.
Material: Zn2WCl
Method: DFT, PBE
State: optimized geometry

Properties
DOS at the Fermi energy, states/eV per atom: 0.455
Energy above the lowest structure with this stoichiometry, meV/atom: 58.5
Crystal system: orthorhombic
Electronic total energy, eV per atom: -4.12
Size of the total moment, μB per formula unit: 0.00

Structure (extended XYZ):
```
4
Lattice="-0.3043 0.8426 2.7627 0.5190 -2.8567 0.0712 7.9834 1.4611 0.4337" Properties=species:S:1:pos:R:3 pbc="T T T"
Cl 2.1032 -0.6417 1.5254
W 6.0949 0.0888 1.7422
Zn 7.9438 1.4539 0.4315
Zn 4.0314 0.7378 0.2190
```

12.
Material: CaSc2Pd3
Method: DFT, PBE
State: optimized geometry

Properties
DOS at the Fermi energy, states/eV per atom: 0.448
Crystal system: tetragonal
Electronic total energy, eV per atom: -5.89
Energy relative to the elements, eV/atom: -0.848
Size of the total moment, μB per formula unit: 0.00

Structure (extended XYZ):
```
6
Lattice="-1.8502 -1.6547 -2.2246 -0.0702 -2.6456 2.0262 -8.7090 3.6813 4.5049" Properties=species:S:1:pos:R:3 pbc="T T T"
Ca -5.3146 -0.3095 2.1533
Sc -8.2657 0.9379 3.6798
Sc -2.3636 -1.5569 0.6268
Pd 0.0000 0.0000 0.0000
Pd -6.0837 2.5716 3.1470
Pd -2.6252 1.1097 1.3580
```

13.
Material: LaBeCo2
Method: DFT, PBE
State: optimized geometry

Properties
DOS at the Fermi energy, states/eV per atom: 1.236
Crystal system: tetragonal
Electronic total energy, eV per atom: -5.52
Energy relative to the elements, eV/atom: 0.193
Size of the total moment, μB per formula unit: 2.01

Structure (extended XYZ):
```
4
Lattice="3.0062 0.0091 0.0000 -0.0083 3.0062 0.0000 0.0000 0.0000 6.5880" Properties=species:S:1:pos:R:3 pbc="T T T"
Be 1.4990 1.5077 4.9410
Co 0.0000 0.0000 6.0395
Co 0.0000 0.0000 3.8425
La 1.4990 1.5077 1.6470
```

14.
Material: Co2Pd3Pt
Method: DFT, PBE
State: optimized geometry

Properties
DOS at the Fermi energy, states/eV per atom: 0.896
Crystal system: monoclinic
Electronic total energy, eV per atom: -5.98
Energy relative to the elements, eV/atom: -0.010
Size of the total moment, μB per formula unit: 5.29

Structure (extended XYZ):
```
12
Lattice="2.6891 0.0000 0.4409 0.7581 7.3714 3.7974 -0.0179 -0.0862 8.5301" Properties=species:S:1:pos:R:3 pbc="T T T"
Co 2.4113 4.6780 10.5560
Co 1.0180 2.6072 2.2123
Co 0.7731 6.0369 3.7057
Co 2.6562 1.2482 9.0626
Pd 2.0670 1.1321 4.2352
Pd 3.0509 5.0121 6.6550
Pd 2.0487 3.8351 4.3469
Pd 1.3623 6.1530 8.5332
Pd 1.3806 3.4500 8.4214
Pd 0.3784 2.2730 6.1134
Pt 1.6126 -0.0434 7.0068
Pt 1.8167 7.3285 5.7616
```

15.
Material: SrSeBr
Method: DFT, PBE
State: optimized geometry

Properties
DOS at the Fermi energy, states/eV per atom: 0.620
Crystal system: trigonal
Electronic total energy, eV per atom: -3.55
Size of the total moment, μB per formula unit: 1.01

Structure (extended XYZ):
```
3
Lattice="-3.5083 -3.1016 -1.0550 4.3228 -0.4848 -2.0298 1.7204 -3.4746 4.4938" Properties=species:S:1:pos:R:3 pbc="T T T"
Br 1.5710 -3.1728 4.1035
Se -0.1557 -3.7284 0.5588
Sr 2.8400 -3.6344 1.2405
```

16.
Material: Mg2AlSb
Method: DFT, PBE
State: optimized geometry

Properties
DOS at the Fermi energy, states/eV per atom: 0.326
Energy above the lowest structure with this stoichiometry, meV/atom: 45.8
Crystal system: monoclinic
Electronic total energy, eV per atom: -2.79
Size of the total moment, μB per formula unit: 0.00

Structure (extended XYZ):
```
4
Lattice="-2.6884 0.0580 3.5516 2.4875 -0.9792 1.8989 2.5862 5.4811 1.8681" Properties=species:S:1:pos:R:3 pbc="T T T"
Sb 3.0162 1.9359 2.2515
Mg 4.8559 4.3833 3.6041
Mg 0.1104 1.1358 2.8588
Al 2.0134 3.8578 4.2548
```

17.
Material: Y2CuSe
Method: DFT, PBE
State: optimized geometry

Properties
DOS at the Fermi energy, states/eV per atom: 0.860
Energy above the lowest structure with this stoichiometry, meV/atom: 140.0
Crystal system: trigonal
Electronic total energy, eV per atom: -6.01
Size of the total moment, μB per formula unit: 0.00

Structure (extended XYZ):
```
4
Lattice="3.9570 0.0000 0.0000 1.9785 3.4268 0.0000 1.9785 1.1423 7.1850" Properties=species:S:1:pos:R:3 pbc="T T T"
Y 1.9785 1.1423 5.4957
Y 1.9785 1.1423 1.6836
Cu 5.9355 3.4268 7.1695
Se 3.9570 2.2846 3.6136
```

18.
Material: Dy8ErSn6
Method: DFT, PBE
State: optimized geometry

Properties
DOS at the Fermi energy, states/eV per atom: 0.644
Crystal system: trigonal
Electronic total energy, eV per atom: -4.89
Energy relative to the elements, eV/atom: -0.535
Size of the total moment, μB per formula unit: 0.00

Structure (extended XYZ):
```
15
Lattice="-3.0426 0.3108 8.4793 2.6009 -6.2484 5.9535 4.9054 1.7222 6.4883" Properties=species:S:1:pos:R:3 pbc="T T T"
Dy 0.4470 -0.7013 8.1692
Dy 1.2717 0.7530 11.6045
Dy 4.1674 -1.5399 7.9416
Dy -0.2940 -3.9580 9.6220
Dy 4.7577 -0.2574 11.2991
Dy 0.2963 -2.6755 12.9795
Dy 3.1919 -4.9684 9.3166
Dy 4.0167 -3.5141 12.7519
Er 0.0000 0.0000 0.0000
Sn 2.8769 1.0802 8.9688
Sn -1.1609 -1.0207 10.7957
Sn 1.7424 -3.3231 7.1308
Sn 2.7212 -0.8922 13.7903
Sn 5.6246 -3.1946 10.1254
Sn 1.5868 -5.2956 11.9523
```

19.
Material: Sm6Fe2Hg
Method: DFT, PBE
State: optimized geometry

Properties
DOS at the Fermi energy, states/eV per atom: 1.115
Crystal system: orthorhombic
Electronic total energy, eV per atom: -5.15
Energy relative to the elements, eV/atom: -0.088
Size of the total moment, μB per formula unit: 1.75

Structure (extended XYZ):
```
18
Lattice="8.0867 0.0422 -2.8325 -4.3042 6.9693 -2.5144 0.0215 -0.0422 8.5684" Properties=species:S:1:pos:R:3 pbc="T T T"
Sm 1.1887 4.9244 3.7112
Sm 2.6154 2.0449 -0.4897
Sm -0.3875 2.0027 5.9393
Sm 4.1916 4.9667 -2.7178
Sm 3.0226 5.4303 0.6505
Sm 0.7814 1.5390 2.5710
Sm -1.5983 5.3881 5.9349
Sm 5.4023 1.5812 -2.7134
Sm 4.0352 2.7316 2.8947
Sm -0.2312 4.2377 0.3268
Sm -1.8253 6.8161 2.5802
Sm 5.6293 0.1532 0.6413
Fe 2.3745 2.7167 5.2422
Fe 1.4295 4.2526 -2.0207
Fe 4.9544 0.0000 3.5048
Fe 3.1539 0.0000 2.2311
Hg -2.1414 3.4636 3.0270
Hg 0.0000 0.0000 0.0000
```

20.
Material: As2IrBrCl
Method: DFT, PBE
State: optimized geometry

Properties
DOS at the Fermi energy, states/eV per atom: 0.851
Energy above the lowest structure with this stoichiometry, meV/atom: 1260.7
Crystal system: tetragonal
Electronic total energy, eV per atom: -2.68
Size of the total moment, μB per formula unit: 0.75

Structure (extended XYZ):
```
5
Lattice="4.8706 0.0000 0.0000 0.0000 4.8706 0.0000 0.0000 0.0000 4.8113" Properties=species:S:1:pos:R:3 pbc="T T T"
As 0.0000 2.4353 0.0000
As 2.4353 0.0000 0.0000
Ir 2.4353 2.4353 2.4056
Br 0.0000 0.0000 2.4056
Cl 0.0000 0.0000 0.0000
```